VASP calculation (GGA-PBE) on a relaxed ZrZn2Tc crystal.

Results
- SG = P4/mmm (123)
- energy of formation from the pure elements (eV per atom) = -0.0730
- total magnetic moment (Bohr magnetons per cell) = 0.00
- E above lowest polymorph (meV per atom) = 147
- Fermi-level density of states (states/eV/cell) = 4.367
- theoretical density (Mg/m³) = 8.19
- crystal system = tetragonal

Structure (POSCAR):
```
ZrZn2Tc
1.0
3.429 0.000 0.000
0.000 3.429 0.000
0.000 0.000 5.519
Zr Zn Tc
1 2 1
direct
0.000 0.000 0.000
0.500 0.500 0.275
0.500 0.500 0.725
0.000 0.000 0.500
```